# BaDyIn2Au4 | Alexandria via LeMat-Bulk | PBE | optimized geometry
data_BaDyIn2Au4
_chemical_formula_sum 'Ba1 Dy1 In2 Au4'
_cell_length_a 4.905
_cell_length_b 4.905
_cell_length_c 9.956
_cell_angle_alpha 75.74
_cell_angle_beta 75.74
_cell_angle_gamma 60.00
_symmetry_space_group_name_H-M 'P 1'
_symmetry_Int_Tables_number 1
loop_
_symmetry_equiv_pos_as_xyz
'x,y,z'
loop_
_atom_site_label
_atom_site_fract_x
_atom_site_fract_y
_atom_site_fract_z
Au1 0.399 0.399 0.804
In1 0.761 0.761 0.718
Au2 0.601 0.601 0.196
Ba1 0.000 0.000 0.000
Au3 0.873 0.873 0.382
Dy1 0.500 0.500 0.500
In2 0.239 0.239 0.282
Au4 0.127 0.127 0.618
# density of states at the Fermi level: 4.45 states/eV/f.u.

---

# TbNdTlPt | Alexandria via LeMat-Bulk | PBE | optimized geometry
data_TbNdTlPt
_chemical_formula_sum 'Tb1 Nd1 Tl1 Pt1'
_cell_length_a 5.248
_cell_length_b 5.248
_cell_length_c 5.248
_cell_angle_alpha 60.00
_cell_angle_beta 60.00
_cell_angle_gamma 60.00
_symmetry_space_group_name_H-M 'P 1'
_symmetry_Int_Tables_number 1
loop_
_symmetry_equiv_pos_as_xyz
'x,y,z'
loop_
_atom_site_label
_atom_site_fract_x
_atom_site_fract_y
_atom_site_fract_z
Pt1 0.750 0.750 0.750
Tl1 0.250 0.250 0.250
Tb1 0.000 0.000 0.000
Nd1 0.500 0.500 0.500
# density of states at the Fermi level: 3.80 states/eV/f.u.

---

# LiTcSb2Te | Alexandria via LeMat-Bulk | PBE | optimized geometry
data_LiTcSb2Te
_chemical_formula_sum 'Li1 Tc1 Sb2 Te1'
_cell_length_a 4.912
_cell_length_b 4.912
_cell_length_c 5.064
_cell_angle_alpha 90.00
_cell_angle_beta 90.00
_cell_angle_gamma 90.00
_symmetry_space_group_name_H-M 'P 1'
_symmetry_Int_Tables_number 1
loop_
_symmetry_equiv_pos_as_xyz
'x,y,z'
loop_
_atom_site_label
_atom_site_fract_x
_atom_site_fract_y
_atom_site_fract_z
Sb1 0.000 0.500 0.000
Tc1 0.500 0.500 0.500
Li1 0.000 0.000 0.000
Te1 0.000 0.000 0.500
Sb2 0.500 0.000 0.000
# polymorph energy (0 for the lowest one): 56.53 kJ/mol of atoms
# density of states at the Fermi level: 4.51 states/eV/f.u.
# E_form (uncorrected): 0.90 eV/atom

---

# Mo3Ir5 | Alexandria via LeMat-Bulk | PBE | optimized geometry
data_Mo3Ir5
_chemical_formula_sum 'Mo3 Ir5'
_cell_length_a 5.520
_cell_length_b 5.520
_cell_length_c 3.909
_cell_angle_alpha 90.00
_cell_angle_beta 90.00
_cell_angle_gamma 90.32
_symmetry_space_group_name_H-M 'P 1'
_symmetry_Int_Tables_number 1
loop_
_symmetry_equiv_pos_as_xyz
'x,y,z'
loop_
_atom_site_label
_atom_site_fract_x
_atom_site_fract_y
_atom_site_fract_z
Ir1 0.000 0.000 0.000
Mo1 0.251 0.251 0.500
Mo2 0.500 0.500 0.000
Mo3 0.749 0.749 0.500
Ir2 0.500 0.000 0.000
Ir3 0.000 0.500 0.000
Ir4 0.748 0.252 0.500
Ir5 0.252 0.748 0.500
# polymorph energy (0 for the lowest one): 0.00 kJ/mol of atoms
# density of states at the Fermi level: 6.93 states/eV/f.u.

---

Per-record raw total energy, eV per cell: -29.903; -20.345; -19.191; -78.856